# CdSnSeO (PBE-GGA, optimized geometry)
data_CdSnSeO
_chemical_formula_sum 'Cd2 Sn2 Se2 O2'
_cell_length_a 5.202
_cell_length_b 5.202
_cell_length_c 7.444
_cell_angle_alpha 90.00
_cell_angle_beta 90.00
_cell_angle_gamma 90.00
_symmetry_space_group_name_H-M 'P 4/n m m'
_symmetry_Int_Tables_number 129
loop_
_symmetry_equiv_pos_as_xyz
'x,y,z'
'-x,-y,-z'
'-y+1/2,x,z'
'y+1/2,-x,-z'
'-x+1/2,-y+1/2,z'
'x+1/2,y+1/2,-z'
'y,-x+1/2,z'
'-y,x+1/2,-z'
'x+1/2,-y,-z'
'-x+1/2,y,z'
'-y,-x,-z'
'y,x,z'
'-x,y+1/2,-z'
'x,-y+1/2,z'
'y+1/2,x+1/2,-z'
'-y+1/2,-x+1/2,z'
loop_
_atom_site_label
_atom_site_fract_x
_atom_site_fract_y
_atom_site_fract_z
Cd1 0.250 0.250 0.133
Sn1 0.250 0.250 0.679
Se1 0.250 0.750 0.000
O1 0.250 0.250 0.420
# crystal system: tetragonal
# energy relative to the lowest polymorph listed for this composition: 305 meV/atom

=====

# RbPb5Au3 (PBE-GGA, optimized geometry)
data_RbPb5Au3
_chemical_formula_sum 'Rb1 Pb5 Au3'
_cell_length_a 5.9589
_cell_length_b 5.9589
_cell_length_c 8.6531
_cell_angle_alpha 90.00
_cell_angle_beta 90.00
_cell_angle_gamma 120.00
_symmetry_space_group_name_H-M 'P 6/m m m'
_symmetry_Int_Tables_number 191
_symmetry_space_group_name_Hall '-P 6 2'
loop_
_atom_site_label
_atom_site_fract_x
_atom_site_fract_y
_atom_site_fract_z
Rb1 0.0000 0.0000 0.0000
Pb1 0.0000 0.0000 0.5000
Pb2 0.3333 0.6667 0.2127
Au1 0.0000 0.5000 0.5000
# crystal system: hexagonal

=====

# NdDyIn2I2 (PBE-GGA, optimized geometry)
data_NdDyIn2I2
_chemical_formula_sum 'Nd1 Dy1 In2 I2'
_cell_length_a 4.5513
_cell_length_b 4.5513
_cell_length_c 11.7419
_cell_angle_alpha 90.00
_cell_angle_beta 90.00
_cell_angle_gamma 120.00
_symmetry_space_group_name_H-M 'P 3 m 1'
_symmetry_Int_Tables_number 156
loop_
_symmetry_equiv_pos_as_xyz
'x,y,z'
'-y,x-y,z'
'-x+y,-x,z'
'-y,-x,z'
'-x+y,y,z'
'x,x-y,z'
loop_
_atom_site_label
_atom_site_fract_x
_atom_site_fract_y
_atom_site_fract_z
Nd1 0.0000 0.0000 0.0000
Dy1 0.0000 0.0000 0.3722
In1 0.3333 0.6667 0.2330
In2 0.6667 0.3333 0.1489
I1 0.3333 0.6667 0.8341
I2 0.6667 0.3333 0.5288
# crystal system: trigonal

=====

# InIr15 (PBE-GGA, optimized geometry)
data_InIr15
_chemical_formula_sum 'In2 Ir30'
_cell_length_a 7.746
_cell_length_b 2.738
_cell_length_c 35.721
_cell_angle_alpha 90.00
_cell_angle_beta 90.00
_cell_angle_gamma 90.00
_symmetry_space_group_name_H-M 'P 1 21/m 1'
_symmetry_Int_Tables_number 11
loop_
_symmetry_equiv_pos_as_xyz
'x,y,z'
'-x,-y,-z'
'-x,y+1/2,-z'
'x,-y+1/2,z'
loop_
_atom_site_label
_atom_site_fract_x
_atom_site_fract_y
_atom_site_fract_z
In1 0.125 0.250 0.206
Ir1 0.124 0.250 0.673
Ir2 0.125 0.250 0.288
Ir3 0.125 0.250 0.366
Ir4 0.125 0.250 0.442
Ir5 0.125 0.250 0.519
Ir6 0.126 0.250 0.596
Ir7 0.131 0.250 0.750
Ir8 0.374 0.750 0.328
Ir9 0.374 0.750 0.784
Ir10 0.375 0.750 0.481
Ir11 0.375 0.750 0.557
Ir12 0.375 0.750 0.634
Ir13 0.376 0.750 0.404
Ir14 0.376 0.750 0.709
Ir15 0.381 0.750 0.250
# crystal system: monoclinic
# energy relative to the lowest polymorph listed for this composition: 79 meV/atom

=====

# NaZrAgTeSe2 (PBE-GGA, optimized geometry)
data_NaZrAgTeSe2
_chemical_formula_sum 'Na2 Zr2 Ag2 Te2 Se4'
_cell_length_a 8.017
_cell_length_b 4.018
_cell_length_c 9.968
_cell_angle_alpha 90.00
_cell_angle_beta 107.67
_cell_angle_gamma 90.00
_symmetry_space_group_name_H-M 'P 1 21/m 1'
_symmetry_Int_Tables_number 11
loop_
_symmetry_equiv_pos_as_xyz
'x,y,z'
'-x,-y,-z'
'-x,y+1/2,-z'
'x,-y+1/2,z'
loop_
_atom_site_label
_atom_site_fract_x
_atom_site_fract_y
_atom_site_fract_z
Na1 0.232 0.250 0.196
Zr1 0.177 0.750 0.670
Ag1 0.412 0.250 0.901
Te1 0.428 0.250 0.632
Se1 0.064 0.750 0.370
Se2 0.212 0.750 0.946
# crystal system: monoclinic
# energy relative to the lowest polymorph listed for this composition: 0 meV/atom

=====

# RbHoTeO (PBE-GGA, optimized geometry)
data_RbHoTeO
_chemical_formula_sum 'Rb2 Ho2 Te2 O2'
_cell_length_a 4.800
_cell_length_b 8.690
_cell_length_c 6.975
_cell_angle_alpha 90.00
_cell_angle_beta 90.00
_cell_angle_gamma 90.00
_symmetry_space_group_name_H-M 'P m c 21'
_symmetry_Int_Tables_number 26
loop_
_symmetry_equiv_pos_as_xyz
'x,y,z'
'-x,-y,z+1/2'
'-x,y,z'
'x,-y,z+1/2'
loop_
_atom_site_label
_atom_site_fract_x
_atom_site_fract_y
_atom_site_fract_z
Rb1 0.000 0.214 0.000
Ho1 0.500 0.395 0.407
Te1 0.000 0.208 0.504
O1 0.500 0.425 0.105
# crystal system: orthorhombic
# energy relative to the lowest polymorph listed for this composition: 149 meV/atom

=====

# BaGdNO (PBE-GGA, optimized geometry)
data_BaGdNO
_chemical_formula_sum 'Ba2 Gd2 N2 O2'
_cell_length_a 4.839
_cell_length_b 4.839
_cell_length_c 7.148
_cell_angle_alpha 90.00
_cell_angle_beta 90.00
_cell_angle_gamma 90.00
_symmetry_space_group_name_H-M 'P 4/n m m'
_symmetry_Int_Tables_number 129
loop_
_symmetry_equiv_pos_as_xyz
'x,y,z'
'-x,-y,-z'
'-y+1/2,x,z'
'y+1/2,-x,-z'
'-x+1/2,-y+1/2,z'
'x+1/2,y+1/2,-z'
'y,-x+1/2,z'
'-y,x+1/2,-z'
'x+1/2,-y,-z'
'-x+1/2,y,z'
'-y,-x,-z'
'y,x,z'
'-x,y+1/2,-z'
'x,-y+1/2,z'
'y+1/2,x+1/2,-z'
'-y+1/2,-x+1/2,z'
loop_
_atom_site_label
_atom_site_fract_x
_atom_site_fract_y
_atom_site_fract_z
Ba1 0.250 0.750 0.000
Gd1 0.250 0.250 0.447
N1 0.250 0.250 0.154
O1 0.250 0.750 0.500
# crystal system: tetragonal
# energy relative to the lowest polymorph listed for this composition: 213 meV/atom

=====

# Pr3Al (PBE-GGA, optimized geometry)
data_Pr3Al
_chemical_formula_sum 'Pr3 Al1'
_cell_length_a 4.935
_cell_length_b 4.935
_cell_length_c 4.953
_cell_angle_alpha 90.00
_cell_angle_beta 90.00
_cell_angle_gamma 90.00
_symmetry_space_group_name_H-M 'P 4/m m m'
_symmetry_Int_Tables_number 123
_symmetry_space_group_name_Hall '-P 4 2'
loop_
_atom_site_label
_atom_site_fract_x
_atom_site_fract_y
_atom_site_fract_z
Pr1 0.000 0.000 0.000
Pr2 0.000 0.500 0.500
Al1 0.500 0.500 0.000
# crystal system: tetragonal
# energy relative to the lowest polymorph listed for this composition: 6 meV/atom

=====

# Ba2ZnP2 (PBE-GGA, optimized geometry)
data_Ba2ZnP2
_chemical_formula_sum 'Ba8 Zn4 P8'
_cell_length_a 6.815
_cell_length_b 13.239
_cell_length_c 6.437
_cell_angle_alpha 90.00
_cell_angle_beta 90.00
_cell_angle_gamma 90.00
_symmetry_space_group_name_H-M 'I b a m'
_symmetry_Int_Tables_number 72
_symmetry_space_group_name_Hall '-I 2 2c'
loop_
_atom_site_label
_atom_site_fract_x
_atom_site_fract_y
_atom_site_fract_z
Ba1 0.193 0.140 0.000
Zn1 0.000 0.500 0.250
P1 0.199 0.394 0.000
# crystal system: orthorhombic

=====

# PmFeB4 (PBE-GGA, optimized geometry)
data_PmFeB4
_chemical_formula_sum 'Pm1 Fe1 B4'
_cell_length_a 3.1542
_cell_length_b 3.1542
_cell_length_c 6.7916
_cell_angle_alpha 90.00
_cell_angle_beta 90.00
_cell_angle_gamma 120.00
_symmetry_space_group_name_H-M 'P 6/m m m'
_symmetry_Int_Tables_number 191
_symmetry_space_group_name_Hall '-P 6 2'
loop_
_atom_site_label
_atom_site_fract_x
_atom_site_fract_y
_atom_site_fract_z
Pm1 0.0000 0.0000 0.0000
Fe1 0.0000 0.0000 0.5000
B1 0.3333 0.6667 0.3083
# crystal system: hexagonal
# energy relative to the lowest polymorph listed for this composition: 0 meV/atom

=====

# ThOsPt (PBE-GGA, optimized geometry)
data_ThOsPt
_chemical_formula_sum 'Th4 Os4 Pt4'
_cell_length_a 6.596
_cell_length_b 6.596
_cell_length_c 6.596
_cell_angle_alpha 90.00
_cell_angle_beta 90.00
_cell_angle_gamma 90.00
_symmetry_space_group_name_H-M 'F -4 3 m'
_symmetry_Int_Tables_number 216
_symmetry_space_group_name_Hall 'F -4 2 3'
loop_
_atom_site_label
_atom_site_fract_x
_atom_site_fract_y
_atom_site_fract_z
Th1 0.000 0.000 0.000
Os1 0.250 0.250 0.250
Pt1 0.250 0.250 0.750
# calculated formation energy: 305.7 meV/atom
# crystal system: cubic
# energy relative to the lowest polymorph listed for this composition: 310 meV/atom

=====

# SrHgAsO (PBE-GGA, optimized geometry)
data_SrHgAsO
_chemical_formula_sum 'Sr2 Hg2 As2 O2'
_cell_length_a 3.585
_cell_length_b 6.976
_cell_length_c 7.647
_cell_angle_alpha 90.00
_cell_angle_beta 90.00
_cell_angle_gamma 90.00
_symmetry_space_group_name_H-M 'P m c 21'
_symmetry_Int_Tables_number 26
loop_
_symmetry_equiv_pos_as_xyz
'x,y,z'
'-x,-y,z+1/2'
'-x,y,z'
'x,-y,z+1/2'
loop_
_atom_site_label
_atom_site_fract_x
_atom_site_fract_y
_atom_site_fract_z
Sr1 0.000 0.065 0.000
Hg1 0.500 0.385 0.366
As1 0.500 0.288 0.711
O1 0.000 0.180 0.287
# crystal system: orthorhombic
# energy relative to the lowest polymorph listed for this composition: 174 meV/atom

=====

no.,raw total energy (eV/atom)
1,-3.835
2,-3.318
3,-3.848
4,-8.325
5,-4.706
6,-5.386
7,-6.706
8,-4.684
9,-4.075
10,-6.858
11,-7.926
12,-3.717